Ho4AgPd15 after structural relaxation. Source: the Alexandria database, functional PBE-GGA.

Calculated values
Formation energy ... -0.706 eV per atom
Magnetization ... 0.000 μB per atom

Cell lengths 4.086, 4.086, 20.516 Å; angles 90.00, 90.00, 90.00 degrees
Space group P4/mmm (No. 123)
Inequivalent atoms, fractional coordinates:
Ho 0.000 0.000 0.101 [2 per cell]
Ho 0.000 0.000 0.303 [2 per cell]
Ag 0.000 0.000 0.500 [1 per cell]
Pd 0.000 0.500 0.000 [2 per cell]
Pd 0.000 0.500 0.202 [4 per cell]
Pd 0.000 0.500 0.404 [4 per cell]
Pd 0.500 0.500 0.102 [2 per cell]
Pd 0.500 0.500 0.303 [2 per cell]
Pd 0.500 0.500 0.500 [1 per cell]



LiZrBr after structural relaxation. Source: the Alexandria database, functional PBE-GGA.

Calculated values
Energy relative to the elements, uncorrected ... -686 meV per atom
E above lowest polymorph ... 60.3 meV per atom
Magnetization ... 0.000 μB per atom

Cell lengths 3.5013, 3.5013, 12.2872 Å; angles 90.00, 90.00, 120.00 degrees
Space group P3m1 (No. 156)
Inequivalent atoms, fractional coordinates:
Li 0.0000 0.0000 0.0000 [1 per cell]
Li 0.0000 0.0000 0.2728 [1 per cell]
Zr 0.0000 0.0000 0.5984 [1 per cell]
Zr 0.3333 0.6667 0.7884 [1 per cell]
Br 0.3333 0.6667 0.1503 [1 per cell]
Br 0.6667 0.3333 0.4283 [1 per cell]



CdInH2 after structural relaxation. Source: the Alexandria database, functional PBE-GGA.

Calculated values
E above lowest polymorph ... 259.6 meV per atom
Magnetization ... 0.000 μB per atom

Cell lengths 5.199, 5.199, 10.277 Å; angles 90.00, 90.00, 90.00 degrees
Space group I-42d (No. 122)
Inequivalent atoms, fractional coordinates:
Cd 0.000 0.000 0.000 [4 per cell]
In 0.000 0.000 0.500 [4 per cell]
H 0.117 0.250 0.125 [8 per cell]



VCo2B4 after structural relaxation. Source: the Alexandria database, functional PBE-GGA.

Calculated values
Formation energy ... -0.558 eV per atom
Magnetization ... 0.000 μB per atom

Cell lengths 2.971, 2.995, 12.311 Å; angles 90.00, 90.00, 90.00 degrees
Space group Immm (No. 71)
Inequivalent atoms, fractional coordinates:
V 0.000 0.000 0.000 [2 per cell]
Co 0.000 0.500 0.315 [4 per cell]
B 0.000 0.000 0.429 [4 per cell]
B 0.000 0.500 0.149 [4 per cell]



Dy2YThAs4 after structural relaxation. Source: the Alexandria database, functional PBE-GGA.

Calculated values
Formation energy ... -1.522 eV per atom
Magnetization ... 0.000 μB per atom

Cell lengths 7.193, 4.164, 7.194 Å; angles 90.00, 109.47, 90.00 degrees
Space group P2/m (No. 10)
Inequivalent atoms, fractional coordinates:
Dy 0.000 0.000 0.000 [1 per cell]
Dy 0.500 0.500 0.000 [1 per cell]
Y 0.000 0.500 0.500 [1 per cell]
Th 0.500 0.000 0.500 [1 per cell]
As 0.245 0.500 0.245 [2 per cell]
As 0.248 0.000 0.753 [2 per cell]



YTaRu after structural relaxation. Source: the Alexandria database, functional PBE-GGA.

Calculated values
Formation energy ... -0.128 eV per atom
E above lowest polymorph ... 72.9 meV per atom
Magnetization ... 0.000 μB per atom

Cell lengths 3.274, 3.274, 11.082 Å; angles 90.00, 90.00, 90.00 degrees
Space group I4mm (No. 107)
Inequivalent atoms, fractional coordinates:
Y 0.000 0.000 0.000 [2 per cell]
Ta 0.000 0.000 0.303 [2 per cell]
Ru 0.000 0.000 0.682 [2 per cell]